(1)
First-principles (GGA-PBE) data for Ac7Tl2Si2 after structural relaxation, as listed in Alexandria via LeMat-Bulk.

Geometry as POSCAR:
```
Ac7Tl2Si2
1.0
-4.568 5.466 2.308
-5.773 -5.213 0.920
3.403 -2.693 6.102
Si Ac Tl
2 7 2
direct
0.724 0.000 0.276 Si
0.276 0.000 0.724 Si
0.500 0.732 0.000 Ac
0.000 0.268 0.500 Ac
0.500 0.241 0.500 Ac
0.500 0.268 0.000 Ac
0.500 0.759 0.500 Ac
0.000 0.000 0.000 Ac
0.000 0.732 0.500 Ac
0.828 0.500 0.828 Tl
0.172 0.500 0.172 Tl
```

Values from the calculation:
- formation energy from raw total energies (eV/atom) = -0.20

=====

(2)
First-principles (GGA-PBE) data for AlPt2Rh after structural relaxation, as listed in Alexandria via LeMat-Bulk.

Geometry as POSCAR:
```
AlPt2Rh
1.0
4.805 -0.009 -0.012
3.956 2.728 -0.012
1.137 0.353 4.522
Rh Pt Al
1 2 1
direct
0.250 0.250 0.250 Rh
0.488 0.488 0.505 Pt
0.012 0.012 0.995 Pt
0.750 0.750 0.750 Al
```

Values from the calculation:
- formation energy from the elements (eV per atom) = -0.53

=====

(3)
First-principles (GGA-PBE) data for CaSi2N3 after structural relaxation, as listed in Alexandria via LeMat-Bulk.

Geometry as POSCAR:
```
CaSi2N3
1.0
4.573 0.000 0.000
0.000 5.797 -2.210
0.000 0.075 6.204
N Si Ca
6 4 2
direct
0.250 0.849 0.617 N
0.250 0.383 0.151 N
0.750 0.151 0.383 N
0.250 0.921 0.079 N
0.750 0.617 0.849 N
0.750 0.079 0.921 N
0.500 0.816 0.816 Si
0.500 0.184 0.184 Si
0.000 0.816 0.816 Si
0.000 0.184 0.184 Si
0.750 0.718 0.282 Ca
0.250 0.282 0.718 Ca
```

Values from the calculation:
- formation energy from raw total energies (eV/atom) = -0.42

=====

(4)
First-principles (GGA-PBE) data for ZrH2Se after structural relaxation, as listed in Alexandria via LeMat-Bulk.

Geometry as POSCAR:
```
ZrH2Se
1.0
-2.676 2.274 -0.092
-3.170 -0.972 1.160
-0.844 1.910 4.617
H Se Zr
2 1 1
direct
0.306 0.306 0.082 H
0.007 0.007 0.980 H
0.492 0.492 0.523 Se
0.695 0.695 0.915 Zr
```

=====

| no. | DFT total energy (eV/atom) |
| --- | --- |
| 1 | -4.227 |
| 2 | -6.322 |
| 3 | -6.721 |
| 4 | -5.479 |